## GaCoNF2 (PBE+U)

Data for GaCoNF2 after structural relaxation.

Cell: 4.1704 4.1704 3.5656 Å, 90.00 90.00 90.00°
Element x y z (fractional)
1 N 0.0000 0.0000 0.5000
2 Co 0.0000 0.0000 0.0000
3 Ga 0.5000 0.5000 0.5000
4 F 0.0000 0.5000 0.0000
5 F 0.5000 0.0000 0.0000

Symmetry   P4/mmm (123)
E above lowest polymorph   54.2 meV per atom